## A
First-principles (GGA-PBE) data for a relaxed structure of Al2ZnPt2, as listed in Alexandria via LeMat-Bulk.

Geometry as POSCAR:
```
Al2ZnPt2
1.0
-5.699 -1.590 -4.092
1.959 -6.922 -0.039
-1.652 -0.482 2.488
Zn Al Pt
2 4 4
direct
0.000 0.000 0.000 Zn
0.500 0.500 0.000 Zn
0.147 0.647 0.500 Al
0.647 0.853 0.500 Al
0.853 0.353 0.500 Al
0.353 0.147 0.500 Al
0.349 0.849 0.000 Pt
0.849 0.651 0.000 Pt
0.651 0.151 0.000 Pt
0.151 0.349 0.000 Pt
```

Density of states at the Fermi level, states/eV per cell: 2.23
Space group: P4/mbm, No. 127

=====

## B
First-principles (GGA-PBE) data for a relaxed structure of Al2ZnPt2, as listed in Alexandria via LeMat-Bulk.

Geometry as POSCAR:
```
Al2ZnPt2
1.0
-6.743 2.948 1.376
-2.436 -2.478 -6.632
-0.801 -2.385 1.185
Zn Al Pt
2 4 4
direct
0.000 0.000 0.000 Zn
0.500 0.500 0.000 Zn
0.362 0.862 0.000 Al
0.862 0.638 0.000 Al
0.638 0.138 0.000 Al
0.138 0.362 0.000 Al
0.158 0.658 0.500 Pt
0.658 0.842 0.500 Pt
0.842 0.342 0.500 Pt
0.342 0.158 0.500 Pt
```

Density of states at the Fermi level, states/eV per cell: 2.43
Space group: P4/mbm, No. 127

=====

Which one is most stable, and which one is least stable? A is the most stable of them, while B is the least stable.